No. 1
Sc6VO12 | the Alexandria database | GGA+U | optimized geometry; DOS at the Fermi energy = 14.04 states/eV/cell; raw total energy = -0.632 Ry/atom; spin magnetization = 0.6 Bohr magnetons per cell
1.0
6.0776 -0.0052 -0.0062
-0.9265 6.0065 -0.0062
-0.9265 -1.0795 5.9087
Sc V O
6 1 12
Direct
0.6832 0.8588 0.3884
0.6116 0.3168 0.1412
0.1412 0.6116 0.3168
0.3168 0.1412 0.6116
0.3884 0.6832 0.8588
0.8588 0.3884 0.6832
0.0000 0.0000 0.0000
0.8216 0.5754 0.4135
0.4135 0.8216 0.5754
0.5754 0.4135 0.8216
0.1784 0.4246 0.5865
0.5865 0.1784 0.4246
0.4246 0.5865 0.1784
0.0855 0.9598 0.3048
0.0402 0.6952 0.9145
0.6952 0.9145 0.0402
0.9145 0.0402 0.6952
0.9598 0.3048 0.0855
0.3048 0.0855 0.9598

=====

No. 2
ScV3O | the Alexandria database | GGA+U | optimized geometry; DOS at the Fermi energy = 6.68 states/eV/cell; raw total energy = -0.317 Ry/atom; spin magnetization = 11.7 Bohr magnetons per cell
1.0
-2.9631 3.5786 -1.9194
1.0774 -1.5981 -4.6428
-3.9153 -3.1481 0.1750
Sc O V
1 1 3
Direct
0.0000 0.0000 0.0000
0.5000 0.5000 0.5000
0.0000 0.5000 0.0000
0.0000 0.0000 0.5000
0.5000 0.0000 0.0000

=====

No. 3
Sc3V5O12 | the Alexandria database | GGA+U | optimized geometry; DOS at the Fermi energy = 24.00 states/eV/cell; raw total energy = -0.602 Ry/atom; spin magnetization = 40.0 Bohr magnetons per cell
1.0
-5.2788 2.9500 8.7263
-6.9152 -2.1241 -7.7708
5.7390 -8.6814 2.1009
Sc V O
12 20 48
Direct
0.7500 0.3750 0.1250
0.8750 0.7500 0.1250
0.3750 0.7500 0.6250
0.2500 0.1250 0.3750
0.8750 0.1250 0.2500
0.3750 0.6250 0.2500
0.6250 0.3750 0.7500
0.1250 0.8750 0.7500
0.7500 0.8750 0.6250
0.6250 0.2500 0.3750
0.1250 0.2500 0.8750
0.2500 0.6250 0.8750
0.1250 0.3750 0.2500
0.0000 0.5000 0.0000
0.0000 0.0000 0.0000
0.3750 0.2500 0.1250
0.5000 0.0000 0.5000
0.5000 0.5000 0.0000
0.1250 0.7500 0.3750
0.7500 0.1250 0.8750
0.7500 0.6250 0.3750
0.3750 0.1250 0.7500
0.6250 0.8750 0.2500
0.5000 0.5000 0.5000
0.5000 0.0000 0.0000
0.0000 0.0000 0.5000
0.2500 0.3750 0.6250
0.2500 0.8750 0.1250
0.0000 0.5000 0.5000
0.8750 0.2500 0.6250
0.6250 0.7500 0.8750
0.8750 0.6250 0.7500
0.7179 0.1309 0.0397
0.3218 0.5397 0.4088
0.9603 0.3691 0.2821
0.5397 0.2179 0.1309
0.5870 0.7179 0.6782
0.9603 0.5912 0.1782
0.3218 0.7821 0.4130
0.0912 0.9130 0.1309
0.5912 0.9603 0.6782
0.7179 0.5870 0.1782
0.7821 0.4603 0.3691
0.8218 0.9088 0.0397
0.1309 0.7179 0.5397
0.3691 0.4088 0.0870
0.0870 0.9088 0.3691
0.4130 0.1309 0.5912
0.0870 0.1782 0.2179
0.4603 0.6782 0.0912
0.8218 0.9130 0.2821
0.1309 0.4130 0.0912
0.3691 0.9603 0.7821
0.5912 0.6309 0.4130
0.9088 0.8218 0.5397
0.7821 0.3218 0.9130
0.4088 0.3691 0.5870
0.0912 0.1782 0.4603
0.2179 0.6782 0.0870
0.1782 0.0870 0.7179
0.6309 0.0397 0.2179
0.8691 0.5870 0.9088
0.5397 0.3218 0.9088
0.5870 0.8691 0.4088
0.9130 0.8218 0.7821
0.9130 0.0912 0.6309
0.8691 0.2821 0.4603
0.1782 0.0912 0.9603
0.6309 0.5912 0.9130
0.4088 0.0397 0.3218
0.2821 0.4130 0.8218
0.2179 0.5397 0.6309
0.9088 0.0870 0.8691
0.6782 0.2179 0.5870
0.4603 0.7821 0.8691
0.0397 0.4088 0.8218
0.4130 0.2821 0.3218
0.0397 0.6309 0.7179
0.6782 0.4603 0.5912
0.2821 0.8691 0.9603

=====

No. 4
Sc2VO | the Alexandria database | GGA+U | optimized geometry; DOS at the Fermi energy = 1.79 states/eV/cell; raw total energy = -0.526 Ry/atom; spin magnetization = 2.7 Bohr magnetons per cell
1.0
1.8043 0.0000 8.0795
-0.9022 1.5626 8.0795
-0.9022 -1.5626 8.0795
Sc O V
2 1 1
Direct
0.8854 0.8854 0.8854
0.1146 0.1146 0.1146
0.5000 0.5000 0.5000
0.0000 0.0000 0.0000